# 1
VASP calculation (PBE) on a geometry-optimized Sm3Tm3MgSe8 structure.

Lattice parameters (Å, degrees): 8.2007 8.2007 8.2007 59.22 59.22 59.22
With the nearest neighbours (Å) after each atom.
Fractional positions:
1 Sm 0.0000 0.5000 0.5000  6 Se 2.94
2 Sm 0.5000 0.0000 0.5000  6 Se 2.94
3 Sm 0.5000 0.5000 0.0000  6 Se 2.94
4 Tm 0.0000 0.0000 0.5000  6 Se 2.83
5 Tm 0.0000 0.5000 0.0000  6 Se 2.83
6 Tm 0.5000 0.0000 0.0000  6 Se 2.83
7 Mg 0.5000 0.5000 0.5000  6 Se 2.80
8 Se 0.2455 0.2455 0.2455  3 Tm 2.83, 3 Sm 2.94
9 Se 0.2482 0.7430 0.7430  1 Mg 2.80, 2 Tm 2.83, 2 Sm 2.94
10 Se 0.2570 0.2570 0.7518  1 Mg 2.80, 2 Tm 2.83, 2 Sm 2.94
11 Se 0.2570 0.7518 0.2570  1 Mg 2.80, 2 Tm 2.83, 2 Sm 2.94
12 Se 0.7430 0.2482 0.7430  1 Mg 2.80, 2 Tm 2.83, 2 Sm 2.94
13 Se 0.7430 0.7430 0.2482  1 Mg 2.80, 2 Tm 2.83, 2 Sm 2.94
14 Se 0.7518 0.2570 0.2570  1 Mg 2.80, 2 Tm 2.83, 2 Sm 2.94
15 Se 0.7545 0.7545 0.7545  3 Tm 2.83, 3 Sm 2.94

The density comes out at 6.997 g/cm3. The formation energy from raw total energies is -1.747 eV/atom. The density of states at the Fermi level comes out at 0.1957 states/eV/atom.

=====

# 2
VASP calculation (PBE) on a geometry-optimized AlVRh2 structure.

Lattice parameters (Å, degrees): 8.4308 8.4308 8.4308 19.10 19.10 19.10
With the nearest neighbours (Å) after each atom.
Fractional positions:
1 Al 0.0000 0.0000 0.0000  6 Rh 2.62, 6 Al 2.80
2 V 0.5000 0.5000 0.5000  6 Rh 2.63, 6 V 2.80
3 Rh 0.2504 0.2504 0.2504  3 Al 2.62, 3 V 2.63, 6 Rh 2.80
4 Rh 0.7496 0.7496 0.7496  3 Al 2.62, 3 V 2.63, 6 Rh 2.80

The density comes out at 8.402 g/cm3. For the calculated formation energy, the calculation gives -0.448 eV per atom. The density of states at the Fermi level comes out at 1.0380 states/eV/atom.

=====

# 3
VASP calculation (PBE) on a geometry-optimized Zn2Te structure.

Lattice parameters (Å, degrees): 6.7556 6.7556 6.7556 90.00 90.00 90.00
With the nearest neighbours (Å) after each atom.
Fractional positions:
1 Zn 0.1039 0.1039 0.1039  1 Zn 2.43
2 Zn 0.1039 0.3961 0.6039  1 Zn 2.43
3 Zn 0.3961 0.6039 0.1039  1 Zn 2.43
4 Zn 0.3961 0.8961 0.6039  1 Zn 2.43
5 Zn 0.6039 0.1039 0.3961  1 Zn 2.43
6 Zn 0.6039 0.3961 0.8961  1 Zn 2.43
7 Zn 0.8961 0.6039 0.3961  1 Zn 2.43
8 Zn 0.8961 0.8961 0.8961  1 Zn 2.43
9 Te 0.0000 0.0000 0.5000  6 Zn 2.85
10 Te 0.0000 0.5000 0.0000  6 Zn 2.85
11 Te 0.5000 0.0000 0.0000  6 Zn 2.85
12 Te 0.5000 0.5000 0.5000  6 Zn 2.85

The calculation puts the excess energy over the best structure of this formula in the dataset at 103.6 meV per atom. The density comes out at 5.567 g/cm3. The formation energy from raw total energies is -0.017 eV/atom.

=====

# 4
VASP calculation (PBE) on a geometry-optimized Cs8BiSb2 structure.

Lattice parameters (Å, degrees): 11.6130 11.6130 9.3620 111.26 111.26 32.35
With the nearest neighbours (Å) after each atom.
Fractional positions:
1 Cs 0.0216 0.0216 0.2676  1 Sb 3.97, 2 Bi 4.03, 4 Cs 4.37-4.44
2 Cs 0.1937 0.1937 0.7717  3 Sb 3.90-4.18, 4 Cs 4.08-4.22
3 Cs 0.3320 0.3320 0.5657  3 Sb 3.92-4.12, 1 Bi 4.02, 2 Cs 4.21-4.36
4 Cs 0.3837 0.3837 0.0636  2 Sb 3.89, 1 Bi 3.93, 3 Cs 4.08-4.22
5 Cs 0.6163 0.6163 0.9364  2 Sb 3.89, 1 Bi 3.93, 3 Cs 4.08-4.22
6 Cs 0.6680 0.6680 0.4343  3 Sb 3.92-4.12, 1 Bi 4.02, 2 Cs 4.21-4.36
7 Cs 0.8063 0.8063 0.2283  3 Sb 3.90-4.18, 4 Cs 4.08-4.22
8 Cs 0.9784 0.9784 0.7324  1 Sb 3.97, 2 Bi 4.03, 4 Cs 4.37-4.44
9 Bi 0.5000 0.5000 0.5000  8 Cs 3.93-4.03
10 Sb 0.1813 0.1813 0.1757  9 Cs 3.89-4.18
11 Sb 0.8187 0.8187 0.8243  9 Cs 3.89-4.18

The density comes out at 4.023 g/cm3. The formation energy from raw total energies is -0.343 eV/atom. The density of states at the Fermi level comes out at 1.7803 states/eV/atom.